(1)
Computed, not measured: a relaxed structure of AgSb2TeSe3 at the PBE level of DFT.

Calculated values
The formation energy from raw total energies is -0.1451 eV per atom.

Lattice parameters (Å, degrees): 8.453 8.453 8.453 58.95 58.95 58.95
Element x y z (fractional)
Ag  0.393  0.393  0.393
Ag  0.607  0.607  0.607
Sb  0.000  0.000  0.000
Sb  0.500  0.000  0.000
Sb  0.000  0.500  0.000
Sb  0.000  0.000  0.500
Te  0.743  0.743  0.743
Te  0.257  0.257  0.257
Se  0.227  0.755  0.755
Se  0.755  0.227  0.755
Se  0.755  0.755  0.227
Se  0.773  0.245  0.245
Se  0.245  0.773  0.245
Se  0.245  0.245  0.773

(2)
Computed, not measured: a relaxed structure of Pr6Dy2Ho at the PBE level of DFT.

Calculated values
Its energy relative to the lowest polymorph listed for this composition is 466 meV/atom. As for the formation energy from the elements: 0.59 eV/atom.

Lattice parameters (Å, degrees): 8.333 8.333 10.563 90.00 90.00 90.00
Element x y z (fractional)
Pr  0.261  0.261  0.333
Pr  0.739  0.739  0.333
Pr  0.239  0.761  0.833
Pr  0.761  0.239  0.833
Pr  0.239  0.761  0.167
Pr  0.761  0.239  0.167
Pr  0.261  0.261  0.667
Pr  0.739  0.739  0.667
Pr  0.261  0.261  0.000
Pr  0.739  0.739  0.000
Pr  0.239  0.761  0.500
Pr  0.761  0.239  0.500
Dy  0.000  0.000  0.333
Dy  0.500  0.500  0.833
Dy  0.500  0.500  0.167
Dy  0.000  0.000  0.667
Ho  0.000  0.000  0.000
Ho  0.500  0.500  0.500

(3)
Computed, not measured: a relaxed structure of PmDy2ErSe5 at the PBE level of DFT.

Calculated values
The formation energy from raw total energies is -1.1468 eV per atom.

Lattice parameters (Å, degrees): 5.102 5.102 10.906 90.00 90.00 90.00
Element x y z (fractional)
Pm  0.000  0.000  0.000
Dy  0.500  0.500  0.344
Dy  0.500  0.500  0.656
Er  0.000  0.000  0.500
Se  0.000  0.500  0.500
Se  0.500  0.000  0.500
Se  0.000  0.000  0.749
Se  0.000  0.000  0.251
Se  0.500  0.500  0.000

(4)
Computed, not measured: a relaxed structure of Na2Cd15In2 at the PBE level of DFT.

Calculated values
As for the formation energy from the elements: -0.03 eV/atom.

Lattice parameters (Å, degrees): 7.809 7.809 7.809 83.47 83.47 83.47
Element x y z (fractional)
Na  0.344  0.344  0.344
Na  0.656  0.656  0.656
Cd  0.500  0.000  0.000
Cd  0.000  0.000  0.500
Cd  0.000  0.500  0.000
Cd  0.000  0.691  0.309
Cd  0.691  0.309  0.000
Cd  0.309  0.000  0.691
Cd  0.309  0.691  0.000
Cd  0.691  0.000  0.309
Cd  0.000  0.309  0.691
Cd  0.165  0.644  0.644
Cd  0.644  0.644  0.165
Cd  0.644  0.165  0.644
Cd  0.835  0.356  0.356
Cd  0.356  0.356  0.835
Cd  0.356  0.835  0.356
In  0.103  0.103  0.103
In  0.897  0.897  0.897

(5)
Computed, not measured: a relaxed structure of BeCuPb2 at the PBE level of DFT.

Calculated values
As for the formation energy from the elements: 0.51 eV/atom.

Lattice parameters (Å, degrees): 4.196 4.196 6.317 74.51 74.51 53.24
Element x y z (fractional)
Pb  0.005  0.005  0.987
Pb  0.495  0.495  0.513
Be  0.750  0.750  0.750
Cu  0.250  0.250  0.250

(6)
Computed, not measured: a relaxed structure of Ba2WN4 at the PBE level of DFT.

Calculated values
The formation energy from raw total energies is 0.0892 eV per atom.

Lattice parameters (Å, degrees): 3.656 6.406 6.406 90.00 90.00 90.00
Element x y z (fractional)
Ba  0.500  0.000  0.500
Ba  0.500  0.500  0.000
W  0.000  0.000  0.000
N  0.000  0.787  0.787
N  0.000  0.213  0.213
N  0.000  0.787  0.213
N  0.000  0.213  0.787

(7)
Computed, not measured: a relaxed structure of Fe2OsPb at the PBE level of DFT.

Calculated values
As for the formation energy from the elements: 0.70 eV/atom.

Lattice parameters (Å, degrees): 8.869 8.869 8.869 19.15 19.15 19.15
Element x y z (fractional)
Fe  0.990  0.990  0.990
Fe  0.510  0.510  0.510
Os  0.250  0.250  0.250
Pb  0.750  0.750  0.750

(8)
Computed, not measured: a relaxed structure of UTiTc2 at the PBE level of DFT.

Calculated values
Its energy relative to the lowest polymorph listed for this composition is 0 meV/atom. As for the formation energy from the elements: -0.27 eV/atom.

Lattice parameters (Å, degrees): 3.220 4.592 4.592 90.00 90.00 90.00
Element x y z (fractional)
U  0.500  0.500  0.500
Tc  0.000  0.000  0.500
Tc  0.000  0.500  0.000
Ti  0.500  0.000  0.000

no.,total energy (eV per cell),V (A^3/atom)
1,-51.41,29.78
2,-74.23,40.75
3,-46.26,31.55
4,-22.35,24.61
5,-13.20,21.26
6,-49.48,21.43
7,-29.06,16.41
8,-40.99,16.98